1.
Density functional theory data (GGA-PBE) for crystalline CsLiOsO4 at its relaxed geometry.

Cell lengths 5.9554, 5.9554, 5.9554 Å; angles 116.20, 116.20, 96.73 degrees
Closest atoms and distances in Å follow each position.
Element x y z (fractional)
Cs1 0.0000 0.0000 0.0000  4 O 3.06
Li1 0.5000 0.5000 0.0000  4 O 2.07
Os1 0.7500 0.2500 0.5000  4 O 1.80
O1 0.0895 0.4000 0.8268  1 Os 1.80
O2 0.5732 0.2627 0.1732  1 Os 1.80
O3 0.6000 0.4268 0.6894  1 Os 1.80
O4 0.7373 0.9105 0.3106  1 Os 1.80

- space group = I-4 (82)
- energy relative to the elements, uncorrected (eV/atom) = -1.378
- crystal system = tetragonal

***

2.
Density functional theory data (GGA-PBE) for crystalline Ba2SrTeRh at its relaxed geometry.

Cell lengths 5.9407, 5.9407, 5.7326 Å; angles 90.00, 90.00, 90.00 degrees
Closest atoms and distances in Å follow each position.
Element x y z (fractional)
Ba1 0.0000 0.5000 0.0000  2 Rh 2.97
Ba2 0.5000 0.0000 0.0000  2 Rh 2.97
Sr1 0.0000 0.0000 0.5000  2 Rh 2.87
Te1 0.5000 0.5000 0.5000  8 Ba 4.13, 4 Sr 4.20
Rh1 0.0000 0.0000 0.0000  2 Sr 2.87, 4 Ba 2.97

- space group = P4/mmm (123)
- energy relative to the elements, uncorrected (eV/atom) = -0.621
- crystal system = tetragonal
- DOS(E_F) (states/eV/cell) = 2.6

***

3.
Density functional theory data (GGA-PBE) for crystalline BaLiDyCl6 at its relaxed geometry.

Cell lengths 6.8313, 6.8313, 13.4470 Å; angles 90.00, 90.00, 120.00 degrees
Closest atoms and distances in Å follow each position.
Element x y z (fractional)
Ba1 0.0000 0.0000 0.0000  6 Cl 3.12
Ba2 0.0000 0.0000 0.5000  6 Cl 3.12
Li1 0.3333 0.6667 0.2500  6 Cl 2.62
Li2 0.6667 0.3333 0.7500  6 Cl 2.62
Dy1 0.3333 0.6667 0.7500  6 Cl 2.65
Dy2 0.6667 0.3333 0.2500  6 Cl 2.65
Cl1 0.0032 0.3678 0.1388  1 Li 2.62, 1 Dy 2.65
Cl2 0.0032 0.6354 0.3612  1 Li 2.62, 1 Dy 2.65
Cl3 0.3646 0.3678 0.3612  1 Li 2.62, 1 Dy 2.65
Cl4 0.3646 0.9968 0.1388  1 Li 2.62, 1 Dy 2.65
Cl5 0.3678 0.0032 0.6388  1 Li 2.62, 1 Dy 2.65
Cl6 0.3678 0.3646 0.8612  1 Li 2.62, 1 Dy 2.65
Cl7 0.6322 0.6354 0.1388  1 Li 2.62, 1 Dy 2.65
Cl8 0.6322 0.9968 0.3612  1 Li 2.62, 1 Dy 2.65
Cl9 0.6354 0.0032 0.8612  1 Li 2.62, 1 Dy 2.65
Cl10 0.6354 0.6322 0.6388  1 Li 2.62, 1 Dy 2.65
Cl11 0.9968 0.3646 0.6388  1 Li 2.62, 1 Dy 2.65
Cl12 0.9968 0.6322 0.8612  1 Li 2.62, 1 Dy 2.65

- space group = P-31c (163)
- energy relative to the elements, uncorrected (eV/atom) = -2.259
- crystal system = trigonal
- DOS(E_F) (states/eV/cell) = 0.0

***

4.
Density functional theory data (GGA-PBE) for crystalline KSrBe2Au at its relaxed geometry.

Cell lengths 4.7347, 4.7347, 5.7418 Å; angles 90.00, 90.00, 90.00 degrees
Closest atoms and distances in Å follow each position.
Element x y z (fractional)
K1 0.0000 0.0000 0.0000  4 Sr 3.35, 8 Be 3.72
Sr1 0.5000 0.5000 0.0000  2 Au 2.87
Be1 0.0000 0.5000 0.5000  2 Au 2.37
Be2 0.5000 0.0000 0.5000  2 Au 2.37
Au1 0.5000 0.5000 0.5000  4 Be 2.37

- space group = P4/mmm (123)
- energy of formation from the pure elements (meV/atom) = 358
- crystal system = tetragonal
- DOS(E_F) (states/eV/cell) = 2.7

***

5.
Density functional theory data (GGA-PBE) for crystalline ReHg2 at its relaxed geometry.

Cell lengths 5.2355, 5.2355, 11.0327 Å; angles 90.00, 90.00, 120.00 degrees
Closest atoms and distances in Å follow each position.
Element x y z (fractional)
Re1 0.3333 0.6667 0.0100  6 Hg 3.02-3.05, 3 Re 3.03
Re2 0.3333 0.6667 0.4900  6 Hg 3.02-3.05, 3 Re 3.03
Re3 0.6667 0.3333 0.5100  6 Hg 3.02-3.05, 3 Re 3.03
Re4 0.6667 0.3333 0.9900  6 Hg 3.02-3.05, 3 Re 3.03
Hg1 0.0000 0.0000 0.0000  6 Re 3.02, 6 Hg 3.15
Hg2 0.0000 0.0000 0.5000  6 Re 3.02, 6 Hg 3.15
Hg3 0.1669 0.3338 0.2500  4 Hg 2.61-2.62
Hg4 0.1669 0.8331 0.2500  4 Hg 2.61-2.62
Hg5 0.3338 0.1669 0.7500  4 Hg 2.61-2.62
Hg6 0.6662 0.8331 0.2500  4 Hg 2.61-2.62
Hg7 0.8331 0.1669 0.7500  4 Hg 2.61-2.62
Hg8 0.8331 0.6662 0.7500  4 Hg 2.61-2.62

- space group = P6_3/mmc (194)
- energy of formation from the pure elements (meV/atom) = 1401
- crystal system = hexagonal
- DOS(E_F) (states/eV/cell) = 4.2

***

6.
Density functional theory data (GGA-PBE) for crystalline AcPuRhI at its relaxed geometry.

Cell lengths 8.7798, 8.7798, 8.7798 Å; angles 27.53, 27.53, 27.53 degrees
Closest atoms and distances in Å follow each position.
Element x y z (fractional)
Ac1 0.0000 0.0000 0.0000  3 Rh 3.00
Pu1 0.2078 0.2078 0.2078  3 Rh 2.79
Rh1 0.5962 0.5962 0.5962  3 Pu 2.79, 3 Ac 3.00
I1 0.7744 0.7744 0.7744  3 Pu 3.50, 3 Ac 3.64

- space group = R3m (160)
- energy relative to the elements, uncorrected (eV/atom) = -0.736
- crystal system = trigonal
- DOS(E_F) (states/eV/cell) = 12.9

***

7.
Density functional theory data (GGA-PBE) for crystalline NaBPd2 at its relaxed geometry.

Cell lengths 2.7562, 2.7562, 7.5573 Å; angles 90.00, 90.00, 90.00 degrees
Closest atoms and distances in Å follow each position.
Element x y z (fractional)
Na1 0.0000 0.0000 0.0000  4 Na 2.76
B1 0.0000 0.0000 0.5000  8 Pd 2.35
Pd1 0.5000 0.5000 0.3252  4 B 2.35
Pd2 0.5000 0.5000 0.6748  4 B 2.35

- space group = P4/mmm (123)
- energy of formation from the pure elements (meV/atom) = 18
- crystal system = tetragonal
- DOS(E_F) (states/eV/cell) = 1.3

***

8.
Density functional theory data (GGA-PBE) for crystalline Zr3Cd3Hg2 at its relaxed geometry.

Cell lengths 4.6062, 4.6196, 8.1212 Å; angles 90.00, 90.00, 90.00 degrees
Closest atoms and distances in Å follow each position.
Element x y z (fractional)
Zr1 0.0000 0.0000 0.0000  4 Hg 3.08, 4 Cd 3.10, 4 Zr 3.26
Zr2 0.0000 0.0000 0.5000  8 Cd 3.05-3.26, 4 Hg 3.06
Zr3 0.5000 0.5000 0.0000  4 Hg 3.09, 4 Cd 3.10, 4 Zr 3.26
Cd1 0.0000 0.5000 0.2547  2 Cd 3.05, 6 Zr 3.05-3.10, 4 Hg 3.26
Cd2 0.0000 0.5000 0.7453  2 Cd 3.05, 6 Zr 3.05-3.10, 4 Hg 3.26
Cd3 0.5000 0.5000 0.5000  4 Cd 3.05, 4 Hg 3.07, 4 Zr 3.26
Hg1 0.5000 0.0000 0.2519  6 Zr 3.06-3.09, 6 Cd 3.07-3.26
Hg2 0.5000 0.0000 0.7481  6 Zr 3.06-3.09, 6 Cd 3.07-3.26

- space group = Pmmm (47)
- energy of formation from the pure elements (meV/atom) = -97
- crystal system = orthorhombic
- DOS(E_F) (states/eV/cell) = 5.7

***

9.
Density functional theory data (GGA-PBE) for crystalline Ac13Tm3 at its relaxed geometry.

Cell lengths 7.8776, 9.2787, 9.2787 Å; angles 85.63, 90.00, 90.00 degrees
Closest atoms and distances in Å follow each position.
Element x y z (fractional)
Ac1 0.0000 0.0000 0.0000  8 Ac 3.82-4.07, 4 Tm 3.84-3.94
Ac2 0.0000 0.4368 0.9158  10 Ac 3.81-4.07, 2 Tm 3.81
Ac3 0.0000 0.5062 0.5062  10 Ac 3.81-4.01, 2 Tm 4.00
Ac4 0.0000 0.9158 0.4368  10 Ac 3.81-4.07, 2 Tm 3.81
Ac5 0.2517 0.2504 0.2504  11 Ac 3.91-4.03, 1 Tm 3.97
Ac6 0.2546 0.1647 0.6787  2 Tm 3.76-3.77, 10 Ac 3.82-4.01
Ac7 0.2546 0.6787 0.1647  2 Tm 3.76-3.77, 10 Ac 3.82-4.01
Ac8 0.5000 0.4284 0.9165  9 Ac 3.79-3.94, 3 Tm 3.82-4.02
Ac9 0.5000 0.5096 0.5096  10 Ac 3.79-4.03, 2 Tm 3.91
Ac10 0.5000 0.9165 0.4284  9 Ac 3.79-3.94, 3 Tm 3.82-4.02
Ac11 0.7454 0.1647 0.6787  2 Tm 3.76-3.77, 10 Ac 3.82-4.01
Ac12 0.7454 0.6787 0.1647  2 Tm 3.76-3.77, 10 Ac 3.82-4.01
Ac13 0.7483 0.2504 0.2504  11 Ac 3.91-4.03, 1 Tm 3.97
Tm1 0.2558 0.7600 0.7600  3 Tm 3.75-4.03, 9 Ac 3.77-4.00
Tm2 0.5000 0.9967 0.9967  2 Tm 3.75, 10 Ac 3.76-4.02
Tm3 0.7442 0.7600 0.7600  3 Tm 3.75-4.03, 9 Ac 3.77-4.00

- space group = Amm2 (38)
- energy of formation from the pure elements (meV/atom) = 64
- crystal system = orthorhombic
- DOS(E_F) (states/eV/cell) = 29.1

***

10.
Density functional theory data (GGA-PBE) for crystalline Ni8Mo3Rh2 at its relaxed geometry.

Cell lengths 9.6540, 9.6540, 9.6540 Å; angles 27.55, 27.55, 27.55 degrees
Closest atoms and distances in Å follow each position.
Element x y z (fractional)
Ni1 0.2282 0.2282 0.2282  1 Rh 2.42, 1 Mo 2.44, 6 Ni 2.57
Ni2 0.2308 0.2308 0.7308  6 Ni 2.30-2.57, 1 Rh 2.53
Ni3 0.2308 0.7308 0.2308  6 Ni 2.30-2.57, 1 Rh 2.53
Ni4 0.2692 0.7692 0.7692  6 Ni 2.30-2.57, 1 Rh 2.53
Ni5 0.7308 0.2308 0.2308  6 Ni 2.30-2.57, 1 Rh 2.53
Ni6 0.7692 0.2692 0.7692  6 Ni 2.30-2.57, 1 Rh 2.53
Ni7 0.7692 0.7692 0.2692  6 Ni 2.30-2.57, 1 Rh 2.53
Ni8 0.7718 0.7718 0.7718  1 Rh 2.42, 1 Mo 2.44, 6 Ni 2.57
Mo1 0.3159 0.3159 0.3159  10 Ni 2.44-2.64
Mo2 0.5000 0.5000 0.5000  6 Rh 2.75
Mo3 0.6841 0.6841 0.6841  10 Ni 2.44-2.64
Rh1 0.1414 0.1414 0.1414  4 Ni 2.42-2.53
Rh2 0.8586 0.8586 0.8586  4 Ni 2.42-2.53

- space group = R-3m (166)
- energy of formation from the pure elements (meV/atom) = 170
- crystal system = trigonal
- DOS(E_F) (states/eV/cell) = 15.2

***

11.
Density functional theory data (GGA-PBE) for crystalline Cs2RbMg2 at its relaxed geometry.

Cell lengths 10.4234, 10.4234, 5.9677 Å; angles 90.00, 90.00, 90.00 degrees
Closest atoms and distances in Å follow each position.
Element x y z (fractional)
Cs1 0.1744 0.3256 0.0000  6 Mg 4.24-4.39
Cs2 0.3256 0.8256 0.0000  6 Mg 4.24-4.39
Cs3 0.6744 0.1744 0.0000  6 Mg 4.24-4.39
Cs4 0.8256 0.6744 0.0000  6 Mg 4.24-4.39
Rb1 0.0000 0.0000 0.5000  4 Mg 4.24
Rb2 0.5000 0.5000 0.5000  4 Mg 4.24
Mg1 0.1073 0.6073 0.5000  1 Mg 3.16
Mg2 0.3927 0.1073 0.5000  1 Mg 3.16
Mg3 0.6073 0.8927 0.5000  1 Mg 3.16
Mg4 0.8927 0.3927 0.5000  1 Mg 3.16

- space group = P4/mbm (127)
- energy of formation from the pure elements (meV/atom) = 205
- crystal system = tetragonal
- DOS(E_F) (states/eV/cell) = 9.9

***

12.
Density functional theory data (GGA-PBE) for crystalline Ag5Pb4 at its relaxed geometry.

Cell lengths 8.9814, 8.9814, 6.1759 Å; angles 90.00, 90.00, 120.00 degrees
Closest atoms and distances in Å follow each position.
Element x y z (fractional)
Ag1 0.0000 0.3134 0.2500  7 Pb 2.89-3.21
Ag2 0.0000 0.6866 0.7500  7 Pb 2.89-3.21
Ag3 0.3134 0.0000 0.2500  7 Pb 2.89-3.21
Ag4 0.3134 0.3134 0.7500  7 Pb 2.89-3.21
Ag5 0.3333 0.6667 0.0000  8 Ag 3.09-3.45, 6 Pb 3.25
Ag6 0.3333 0.6667 0.5000  8 Ag 3.09-3.45, 6 Pb 3.25
Ag7 0.6667 0.3333 0.0000  8 Ag 3.09-3.45, 6 Pb 3.25
Ag8 0.6667 0.3333 0.5000  8 Ag 3.09-3.45, 6 Pb 3.25
Ag9 0.6866 0.0000 0.7500  7 Pb 2.89-3.21
Ag10 0.6866 0.6866 0.2500  7 Pb 2.89-3.21
Pb1 0.0000 0.0000 0.0000  2 Pb 3.09, 6 Ag 3.21
Pb2 0.0000 0.0000 0.5000  2 Pb 3.09, 6 Ag 3.21
Pb3 0.0000 0.3650 0.7500  5 Ag 2.89-3.12
Pb4 0.0000 0.6350 0.2500  5 Ag 2.89-3.12
Pb5 0.3650 0.0000 0.7500  5 Ag 2.89-3.12
Pb6 0.3650 0.3650 0.2500  5 Ag 2.89-3.12
Pb7 0.6350 0.0000 0.2500  5 Ag 2.89-3.12
Pb8 0.6350 0.6350 0.7500  5 Ag 2.89-3.12

- space group = P6_3/mcm (193)
- energy of formation from the pure elements (meV/atom) = 146
- crystal system = hexagonal
- DOS(E_F) (states/eV/cell) = 6.0

***

13.
Density functional theory data (GGA-PBE) for crystalline HfSeI3 at its relaxed geometry.

Cell lengths 5.7158, 5.7158, 5.7158 Å; angles 90.00, 90.00, 90.00 degrees
Closest atoms and distances in Å follow each position.
Element x y z (fractional)
Hf1 0.0000 0.0000 0.0000  12 I 4.04
Se1 0.5000 0.5000 0.5000  6 I 2.86
I1 0.0000 0.5000 0.5000  2 Se 2.86
I2 0.5000 0.0000 0.5000  2 Se 2.86
I3 0.5000 0.5000 0.0000  2 Se 2.86

- space group = Pm-3m (221)
- energy relative to the elements, uncorrected (eV/atom) = 0.851
- crystal system = cubic
- DOS(E_F) (states/eV/cell) = 5.3

***

14.
Density functional theory data (GGA-PBE) for crystalline TaTl2Mo at its relaxed geometry.

Cell lengths 5.2067, 5.2067, 4.9304 Å; angles 103.85, 103.85, 38.29 degrees
Closest atoms and distances in Å follow each position.
Element x y z (fractional)
Ta1 0.0000 0.0000 0.0000  6 Tl 3.00-3.02, 4 Mo 3.00
Tl1 0.2460 0.2460 0.7446  3 Mo 2.96-3.04, 4 Tl 2.97-3.03, 3 Ta 3.00-3.02
Tl2 0.7540 0.7540 0.2554  3 Mo 2.96-3.04, 4 Tl 2.97-3.03, 3 Ta 3.00-3.02
Mo1 0.5000 0.5000 0.5000  6 Tl 2.96-3.04, 4 Ta 3.00

- space group = C2/m (12)
- energy of formation from the pure elements (meV/atom) = 693
- crystal system = monoclinic
- DOS(E_F) (states/eV/cell) = 2.8